Entry 1:
Compound: LiPdF4
Source: Alexandria via LeMat-Bulk
Functional: PBE-GGA
Structure: optimized geometry

Raw formation energy: -1691 meV per atom

Lattice parameters (Å, degrees): 6.017 6.017 5.062 90.00 90.00 90.00
Space group I-4 (No. 82)
Unique sites:
Li (0.000, 0.000, 0.000)
Pd (0.000, 0.500, 0.750)
F (0.131, 0.793, 0.762)

Entry 2:
Compound: SrAlGa2Fe
Source: Alexandria via LeMat-Bulk
Functional: PBE-GGA
Structure: optimized geometry

DFT total energy: -4.2926 eV/atom

Lattice parameters (Å, degrees): 4.670 4.670 4.615 90.00 90.00 90.00
Space group P4/mmm (No. 123)
Unique sites:
Sr (0.000, 0.000, 0.000)
Al (0.500, 0.500, 0.000)
Ga (0.000, 0.500, 0.500)
Fe (0.500, 0.500, 0.500)

Entry 3:
Compound: Ac4Ge2Pb
Source: Alexandria via LeMat-Bulk
Functional: PBE-GGA
Structure: optimized geometry

DFT total energy: -4.7393 eV/atom

Lattice parameters (Å, degrees): 10.330 10.330 10.340 90.00 90.00 90.00
Space group I4_1/amd (No. 141, origin choice 2)
Unique sites:
Ac (0.000, 0.069, 0.205)
Ge (0.000, 0.000, 0.500)
Pb (0.000, 0.250, 0.875)

Entry 4:
Compound: LaCd2SnGe
Source: Alexandria via LeMat-Bulk
Functional: PBE-GGA
Structure: optimized geometry

DFT total energy: -3.4100 eV/atom

Lattice parameters (Å, degrees): 5.080 15.667 6.285 90.00 90.00 90.00
Space group Cmcm (No. 63)
Unique sites:
La (0.000, 0.088, 0.250)
Cd (0.000, 0.300, 0.001)
Sn (0.000, 0.500, 0.000)
Ge (0.000, 0.129, 0.750)

Entry 5:
Compound: SbIrOs2
Source: Alexandria via LeMat-Bulk
Functional: PBE-GGA
Structure: optimized geometry

Raw formation energy: 447 meV per atom

Lattice parameters (Å, degrees): 9.104 2.883 5.031 90.00 103.69 90.00
Space group C2/m (No. 12)
Unique sites:
Sb (0.000, 0.000, 0.000)
Ir (0.000, 0.500, 0.500)
Os (0.246, 0.500, 0.276)

Entry 6:
Compound: ZrSc6In
Source: Alexandria via LeMat-Bulk
Functional: PBE-GGA
Structure: optimized geometry

DFT total energy: -6.2996 eV/atom

Lattice parameters (Å, degrees): 4.540 4.540 9.137 90.00 90.00 90.00
Space group P4/mmm (No. 123)
Unique sites:
Zr (0.000, 0.000, 0.000)
Sc (0.000, 0.500, 0.247)
Sc (0.500, 0.500, 0.000)
Sc (0.500, 0.500, 0.500)
In (0.000, 0.000, 0.500)

Entry 7:
Compound: Ce2VSnN5
Source: Alexandria via LeMat-Bulk
Functional: PBE-GGA
Structure: optimized geometry

Raw formation energy: -835 meV per atom

Lattice parameters (Å, degrees): 3.360 13.910 10.197 90.00 90.00 90.00
Space group Cmc2_1 (No. 36)
Unique sites:
Ce (0.000, 0.112, 0.000)
Ce (0.000, 0.139, 0.584)
V (0.000, 0.494, 0.767)
Sn (0.000, 0.214, 0.300)
N (0.000, 0.047, 0.334)
N (0.000, 0.284, 0.950)
N (0.000, 0.304, 0.662)
N (0.000, 0.376, 0.308)
N (0.000, 0.494, 0.088)

Entry 8:
Compound: BaAc2Cd2Pb2
Source: Alexandria via LeMat-Bulk
Functional: PBE-GGA
Structure: optimized geometry

DFT total energy: -3.0381 eV/atom

Lattice parameters (Å, degrees): 5.4005 5.4005 30.2017 90.00 90.00 120.00
Space group R-3m (No. 166, hexagonal axes)
Unique sites:
Ba (0.0000, 0.0000, 0.0000)
Ac (0.0000, 0.0000, 0.1319)
Cd (0.0000, 0.0000, 0.4236)
Pb (0.0000, 0.0000, 0.2605)

Entry 9:
Compound: CdCuPdPb
Source: Alexandria via LeMat-Bulk
Functional: PBE-GGA
Structure: optimized geometry

DFT total energy: -3.5041 eV/atom

Lattice parameters (Å, degrees): 6.721 6.721 6.721 90.00 90.00 90.00
Space group F-43m (No. 216)
Unique sites:
Cd (0.000, 0.000, 0.000)
Cu (0.250, 0.250, 0.250)
Pd (0.250, 0.250, 0.750)
Pb (0.000, 0.000, 0.500)

Entry 10:
Compound: Y2AlNi
Source: Alexandria via LeMat-Bulk
Functional: PBE-GGA
Structure: optimized geometry

DFT total energy: -5.6240 eV/atom

Lattice parameters (Å, degrees): 6.910 6.910 6.910 90.00 90.00 90.00
Space group F-43m (No. 216)
Unique sites:
Y (0.000, 0.000, 0.000)
Y (0.250, 0.250, 0.250)
Al (0.000, 0.000, 0.500)
Ni (0.250, 0.250, 0.750)

Entry 11:
Compound: CaZrZn2
Source: Alexandria via LeMat-Bulk
Functional: PBE-GGA
Structure: optimized geometry

DFT total energy: -3.2534 eV/atom

Lattice parameters (Å, degrees): 8.817 3.375 6.459 90.00 101.36 90.00
Space group C2/m (No. 12)
Unique sites:
Ca (0.000, 0.000, 0.000)
Zr (0.000, 0.500, 0.500)
Zn (0.244, 0.000, 0.696)

Entry 12:
Compound: Ac2HgCl
Source: Alexandria via LeMat-Bulk
Functional: PBE-GGA
Structure: optimized geometry

Raw formation energy: -832 meV per atom

Lattice parameters (Å, degrees): 3.817 3.817 8.573 90.00 90.00 90.00
Space group P4/mmm (No. 123)
Unique sites:
Ac (0.000, 0.000, 0.245)
Hg (0.500, 0.500, 0.000)
Cl (0.500, 0.500, 0.500)

Going through the records in order, we get total moment values of 2.04, 0.77, 0.00, 0.00, 0.00, 0.01, 8.24, 0.00, 0.00, 2.59, 0.00, 0.00 μB/cell.